Entry 1:
Ca3La2Ga2Pt4 | Alexandria | GGA-PBE | optimized geometry; electronic total energy = -5.04 eV/atom; M_tot = 0.0 μB/cell; ΔE_f = -0.849 eV per atom; theoretical density = 7733 kg/m³
1.0
-1.232 -4.140 -0.590
3.475 0.909 2.470
-10.125 1.037 13.862
Ca La Ga Pt
3 2 2 4
direct
0.000 0.000 0.772 Ca
0.000 0.000 0.000 Ca
0.000 0.000 0.228 Ca
0.667 0.333 0.407 La
0.333 0.667 0.593 La
0.667 0.333 0.882 Ga
0.333 0.667 0.118 Ga
0.667 0.333 0.114 Pt
0.333 0.667 0.886 Pt
0.667 0.333 0.674 Pt
0.333 0.667 0.326 Pt

=====

Entry 2:
CaLaGa2Pt2 | Alexandria | GGA-PBE | optimized geometry; electronic total energy = -5.14 eV/atom; M_tot = 0.0 μB/cell; ΔE_f = -0.960 eV per atom; theoretical density = 8871 kg/m³
1.0
-3.279 1.534 -2.579
0.407 -4.368 0.716
-4.607 0.588 6.207
Ca La Ga Pt
1 1 2 2
direct
0.000 0.000 0.500 Ca
0.000 0.000 0.000 La
0.667 0.333 0.735 Ga
0.333 0.667 0.265 Ga
0.667 0.333 0.250 Pt
0.333 0.667 0.750 Pt

=====

Entry 3:
CaLa2Ga4Pt3 | Alexandria | GGA-PBE | optimized geometry; electronic total energy = -5.06 eV/atom; M_tot = 0.0 μB/cell; ΔE_f = -0.851 eV per atom; theoretical density = 9071 kg/m³
1.0
4.343 0.000 0.000
0.000 4.343 0.000
0.000 0.000 11.474
Ca La Ga Pt
1 2 4 3
direct
0.500 0.500 0.500 Ca
0.500 0.000 0.223 La
0.000 0.500 0.777 La
0.500 0.500 0.000 Ga
0.000 0.000 0.000 Ga
0.500 0.000 0.663 Ga
0.000 0.500 0.337 Ga
0.000 0.000 0.500 Pt
0.500 0.000 0.879 Pt
0.000 0.500 0.121 Pt

=====

Entry 4:
CaLa2Ga3Rh4 | Alexandria | GGA-PBE | optimized geometry; electronic total energy = -5.77 eV/atom; M_tot = 0.0 μB/cell; ΔE_f = -0.736 eV per atom; theoretical density = 7644 kg/m³
1.0
4.327 0.000 0.000
0.000 4.327 0.000
0.000 0.000 10.890
Ca La Ga Rh
1 2 3 4
direct
0.500 0.500 0.500 Ca
0.500 0.000 0.226 La
0.000 0.500 0.774 La
0.000 0.000 0.500 Ga
0.500 0.000 0.886 Ga
0.000 0.500 0.114 Ga
0.500 0.500 0.000 Rh
0.000 0.000 0.000 Rh
0.500 0.000 0.656 Rh
0.000 0.500 0.344 Rh

=====

Entry 5:
CaLa2GaRh | Alexandria | GGA-PBE | optimized geometry; electronic total energy = -4.82 eV/atom; M_tot = 0.0 μB/cell; ΔE_f = -0.375 eV per atom; theoretical density = 5229 kg/m³
1.0
-0.314 4.886 -2.654
-2.226 -2.546 -4.425
-4.595 0.732 1.891
Ca Rh Ga La
1 1 1 2
direct
0.500 0.500 0.500 Ca
0.000 0.000 0.000 Rh
0.000 0.000 0.500 Ga
0.000 0.500 0.000 La
0.500 0.000 0.000 La

=====

Entry 6:
CaLaGa3S7 | Alexandria | GGA-PBE | optimized geometry; electronic total energy = -4.99 eV/atom; M_tot = 0.0 μB/cell; theoretical density = 3482 kg/m³; ΔE_f (raw) = -1.25 eV per atom
1.0
9.624 0.000 0.000
0.000 6.263 -0.073
0.000 -0.060 9.693
Ca La Ga S
2 2 6 14
direct
0.146 0.460 0.421 Ca
0.646 0.540 0.579 Ca
0.848 0.500 0.102 La
0.348 0.500 0.898 La
0.499 0.008 0.242 Ga
0.999 0.992 0.758 Ga
0.649 0.046 0.899 Ga
0.149 0.954 0.101 Ga
0.353 0.036 0.601 Ga
0.853 0.964 0.399 Ga
0.354 0.682 0.611 S
0.854 0.318 0.389 S
0.642 0.690 0.892 S
0.142 0.310 0.108 S
0.022 0.792 0.270 S
0.522 0.208 0.730 S
0.664 0.773 0.317 S
0.164 0.227 0.683 S
0.349 0.771 0.143 S
0.849 0.229 0.857 S
0.572 0.253 0.086 S
0.072 0.747 0.914 S
0.403 0.224 0.405 S
0.903 0.776 0.595 S

=====

Entry 7:
Ca2LaGaSn | Alexandria | GGA-PBE | optimized geometry; electronic total energy = -3.39 eV/atom; M_tot = 0.0 μB/cell; ΔE_f = -0.194 eV per atom; theoretical density = 3845 kg/m³
1.0
5.588 0.000 0.000
0.000 5.635 0.000
0.000 0.000 5.588
Ca Sn Ga La
2 1 1 1
direct
0.000 0.000 0.500 Ca
0.500 0.000 0.000 Ca
0.500 0.500 0.500 Sn
0.000 0.000 0.000 Ga
0.000 0.500 0.000 La

=====

Entry 8:
SrCa2LaGa | Alexandria | GGA-PBE | optimized geometry; electronic total energy = -2.78 eV/atom; M_tot = 0.0 μB/cell; ΔE_f = -0.054 eV per atom; theoretical density = 2989 kg/m³
1.0
-0.230 -3.459 -4.820
4.467 -3.275 2.137
-3.901 -3.542 2.728
Sr Ca Ga La
1 2 1 1
direct
0.500 0.500 0.500 Sr
0.000 0.500 0.000 Ca
0.500 0.000 0.000 Ca
0.000 0.000 0.000 Ga
0.000 0.000 0.500 La

=====

Repeat the fourth record exactly.
CaLa2Ga3Rh4 | Alexandria | GGA-PBE | optimized geometry; electronic total energy = -5.77 eV/atom; M_tot = 0.0 μB/cell; ΔE_f = -0.736 eV per atom; theoretical density = 7644 kg/m³
1.0
4.327 0.000 0.000
0.000 4.327 0.000
0.000 0.000 10.890
Ca La Ga Rh
1 2 3 4
direct
0.500 0.500 0.500 Ca
0.500 0.000 0.226 La
0.000 0.500 0.774 La
0.000 0.000 0.500 Ga
0.500 0.000 0.886 Ga
0.000 0.500 0.114 Ga
0.500 0.500 0.000 Rh
0.000 0.000 0.000 Rh
0.500 0.000 0.656 Rh
0.000 0.500 0.344 Rh